Below is a crystal of KHgRu relaxed with PBEsol, with properties calculated at the meta-GGA SCAN level.

magnetization = 2.98 μB/cell
energy of formation from the pure elements = 1.58 eV per atom
energy relative to the lowest polymorph listed for this composition = 0.711 eV per atom
Fermi-level density of states = 2.5 states/eV per cell

a b c (Å): 4.911 4.911 4.911
angles (deg): 60.00 60.00 60.00
Positions (direct):
1 K 0.000 0.000 0.000
2 Hg 0.250 0.250 0.250
3 Ru 0.750 0.750 0.750